HfSbW2 | the Open Quantum Materials Database | PBE-GGA | optimized geometry; calculated total energy = -9.5874 eV per atom; space-group type = F-43m (216); calculated volume = 18.31 A^3/atom; mass density = 15.14 Mg/m³
1.0
0.000 3.321 3.321
3.321 0.000 3.321
3.321 3.321 0.000
Hf Sb W
1 1 2
direct
0.000 0.000 0.000
0.750 0.750 0.750
0.250 0.250 0.250
0.500 0.500 0.500